(1)
The following is a DFT calculation (PBE) of a geometry-optimized NdYCdGe structure.

Summary:
crystal system = cubic
formation energy from the elements = -490 meV per atom
electronic total energy = -4.681 eV per atom

Lattice parameters (Å, degrees): 5.233 5.233 5.233 60.00 60.00 60.00
Element x y z (fractional)
Nd  0.000  0.000  0.000
Y  0.500  0.500  0.500
Cd  0.250  0.250  0.250
Ge  0.750  0.750  0.750


(2)
The following is a DFT calculation (PBE) of a geometry-optimized AlH2Ru structure.

Summary:
crystal system = cubic
polymorph energy (0 for the lowest one) = 0.456 eV/atom
electronic total energy = -4.444 eV per atom

Lattice parameters (Å, degrees): 3.656 3.656 3.656 60.00 60.00 60.00
Element x y z (fractional)
Al  0.000  0.000  0.000
H  0.250  0.250  0.250
H  0.750  0.750  0.750
Ru  0.500  0.500  0.500


(3)
The following is a DFT calculation (PBE) of a geometry-optimized Nd4NiPtCl2 structure.

Summary:
crystal system = monoclinic
electronic total energy = -5.439 eV per atom
formation energy from raw total energies = -107.6 kJ/mol of atoms

Lattice parameters (Å, degrees): 7.158 4.132 7.815 90.00 107.85 90.00
Element x y z (fractional)
Nd  0.230  0.000  0.205
Nd  0.253  0.500  0.793
Nd  0.747  0.500  0.207
Nd  0.770  0.000  0.795
Ni  0.000  0.500  0.000
Pt  0.500  0.000  0.000
Cl  0.000  0.000  0.500
Cl  0.500  0.500  0.500


Question: The highest electronic total energy belongs to which entry?
Answer: AlH2Ru


Question: Among the records above, which one has the highest electronic total energy?
Answer: AlH2Ru